No. 1
This record from Alexandria describes an optimized crystal structure of Tl2InFeCl6. The functional is PBE-GGA.

Calculated values
**Raw formation energy**: -800.9 meV per atom
**Space group**: P2_1/c

Unit cell a=7.1948 b=7.4012 c=12.5824 alpha=90.00 beta=124.77 gamma=90.00
Fractional coordinates of all 20 atoms:
Tl (0.2345, 0.0572, 0.2479)
Tl (0.2345, 0.4428, 0.7479)
Tl (0.7655, 0.5572, 0.2521)
Tl (0.7655, 0.9428, 0.7521)
In (0.5000, 0.0000, 0.0000)
In (0.5000, 0.5000, 0.5000)
Fe (0.0000, 0.0000, 0.5000)
Fe (0.0000, 0.5000, 0.0000)
Cl (0.1444, 0.2431, 0.9678)
Cl (0.1444, 0.2569, 0.4678)
Cl (0.2274, 0.6777, 0.9678)
Cl (0.2274, 0.8223, 0.4678)
Cl (0.2825, 0.0098, 0.7189)
Cl (0.2825, 0.4902, 0.2189)
Cl (0.7175, 0.5098, 0.7811)
Cl (0.7175, 0.9902, 0.2811)
Cl (0.7726, 0.1777, 0.5322)
Cl (0.7726, 0.3223, 0.0322)
Cl (0.8556, 0.7431, 0.5322)
Cl (0.8556, 0.7569, 0.0322)

---

No. 2
This record from Alexandria describes an optimized crystal structure of TlInFeCl6. The functional is PBE-GGA.

Calculated values
**Raw formation energy**: -961.4 meV per atom
**Space group**: C2

Unit cell a=6.6058 b=6.6058 c=7.0995 alpha=90.04 beta=90.04 gamma=120.07
Fractional coordinates of all 9 atoms:
Tl (0.0000, 0.0000, 0.0000)
In (0.6667, 0.3333, 0.5000)
Fe (0.3334, 0.6666, 0.5000)
Cl (0.0100, 0.3789, 0.7014)
Cl (0.0102, 0.6295, 0.2981)
Cl (0.3705, 0.9898, 0.7019)
Cl (0.3731, 0.3825, 0.2965)
Cl (0.6175, 0.6269, 0.7035)
Cl (0.6211, 0.9900, 0.2986)

---

No. 3
This record from Alexandria describes an optimized crystal structure of Fe3IrCl. The functional is PBE-GGA.

Calculated values
**Raw formation energy**: 1111.9 meV per atom
**Space group**: Pm-3m

Unit cell a=4.7490 b=4.7490 c=4.7490 alpha=90.00 beta=90.00 gamma=90.00
Fractional coordinates of all 5 atoms:
Fe (0.0000, 0.0000, 0.5000)
Fe (0.0000, 0.5000, 0.0000)
Fe (0.5000, 0.0000, 0.0000)
Ir (0.0000, 0.0000, 0.0000)
Cl (0.5000, 0.5000, 0.5000)

---

No. 4
This record from Alexandria describes an optimized crystal structure of Fe2IrCl8. The functional is PBE-GGA.

Calculated values
**Raw formation energy**: -631.2 meV per atom
**Space group**: C2/m

Unit cell a=8.3358 b=8.3358 c=6.0707 alpha=92.57 beta=92.57 gamma=51.97
Fractional coordinates of all 11 atoms:
Fe (0.1473, 0.1473, 0.4341)
Fe (0.8527, 0.8527, 0.5659)
Ir (0.0000, 0.0000, 0.0000)
Cl (0.1333, 0.1333, 0.8030)
Cl (0.1570, 0.7105, 0.7598)
Cl (0.2874, 0.2874, 0.3682)
Cl (0.2895, 0.8430, 0.2402)
Cl (0.7105, 0.1570, 0.7598)
Cl (0.7126, 0.7126, 0.6318)
Cl (0.8430, 0.2895, 0.2402)
Cl (0.8667, 0.8667, 0.1970)

---

No. 5
This record from Alexandria describes an optimized crystal structure of FeIrCl. The functional is PBE-GGA.

Calculated values
**Raw formation energy**: 426.4 meV per atom
**Space group**: I4mm

Unit cell a=6.1084 b=6.1084 c=6.1084 alpha=152.61 beta=152.61 gamma=39.12
Fractional coordinates of all 3 atoms:
Fe (0.0000, 0.0000, 0.0000)
Ir (0.6347, 0.6347, 0.0000)
Cl (0.3521, 0.3521, 0.0000)

---

No. 6
This record from Alexandria describes an optimized crystal structure of FeIr2Cl4. The functional is PBE-GGA.

Calculated values
**Raw formation energy**: 563.8 meV per atom
**Space group**: I4/mmm

Unit cell a=6.9412 b=6.9412 c=6.9412 alpha=137.23 beta=137.23 gamma=62.09
Fractional coordinates of all 7 atoms:
Fe (0.0000, 0.0000, 0.0000)
Ir (0.4010, 0.4010, 0.0000)
Ir (0.5990, 0.5990, 0.0000)
Cl (0.0000, 0.5000, 0.5000)
Cl (0.1997, 0.1997, 0.0000)
Cl (0.5000, 0.0000, 0.5000)
Cl (0.8003, 0.8003, 0.0000)

---

No. 7
This record from Alexandria describes an optimized crystal structure of Fe3IrCl. The functional is PBE-GGA.

Calculated values
**Raw formation energy**: 846.2 meV per atom
**Space group**: Pm-3m

Unit cell a=4.1127 b=4.1127 c=4.1127 alpha=90.00 beta=90.00 gamma=90.00
Fractional coordinates of all 5 atoms:
Fe (0.0000, 0.0000, 0.5000)
Fe (0.0000, 0.5000, 0.0000)
Fe (0.5000, 0.0000, 0.0000)
Ir (0.5000, 0.5000, 0.5000)
Cl (0.0000, 0.0000, 0.0000)

---

No. 8
This record from Alexandria describes an optimized crystal structure of FeIrCl. The functional is PBE-GGA.

Calculated values
**Raw formation energy**: 249.6 meV per atom
**Space group**: P3m1

Unit cell a=2.9139 b=2.9139 c=7.0607 alpha=90.00 beta=90.00 gamma=120.00
Fractional coordinates of all 3 atoms:
Fe (0.0000, 0.0000, 0.0000)
Ir (0.3333, 0.6667, 0.2720)
Cl (0.6667, 0.3333, 0.7625)

---

No. 9
This record from Alexandria describes an optimized crystal structure of FeIrCl. The functional is PBE-GGA.

Calculated values
**Raw formation energy**: 374.3 meV per atom
**Space group**: Fmm2

Unit cell a=7.2314 b=6.9575 c=2.8968 alpha=83.58 beta=72.96 gamma=23.46
Fractional coordinates of all 3 atoms:
Fe (0.0000, 0.0000, 0.0000)
Ir (0.3579, 0.3579, 0.6421)
Cl (0.6321, 0.6321, 0.3679)

---

No. 10
This record from Alexandria describes an optimized crystal structure of FeIrCl. The functional is PBE-GGA.

Calculated values
**Raw formation energy**: 690.9 meV per atom
**Space group**: P-6m2

Unit cell a=4.2494 b=4.2494 c=2.8797 alpha=90.00 beta=90.00 gamma=120.00
Fractional coordinates of all 3 atoms:
Fe (0.0000, 0.0000, 0.0000)
Ir (0.6667, 0.3333, 0.5000)
Cl (0.3333, 0.6667, 0.5000)

---

No. 11
This record from Alexandria describes an optimized crystal structure of FeIr4Cl. The functional is PBE-GGA.

Calculated values
**Raw formation energy**: 1001.6 meV per atom
**Space group**: F-43m

Unit cell a=5.2427 b=5.2427 c=5.2427 alpha=60.00 beta=60.00 gamma=60.00
Fractional coordinates of all 6 atoms:
Fe (0.0000, 0.0000, 0.0000)
Ir (0.1239, 0.6254, 0.6254)
Ir (0.6254, 0.1239, 0.6254)
Ir (0.6254, 0.6254, 0.1239)
Ir (0.6254, 0.6254, 0.6254)
Cl (0.2500, 0.2500, 0.2500)

---

No. 12
This record from Alexandria describes an optimized crystal structure of FeIrCl. The functional is PBE-GGA.

Calculated values
**Raw formation energy**: 946.3 meV per atom
**Space group**: F-43m

Unit cell a=4.1903 b=4.1903 c=4.1903 alpha=60.00 beta=60.00 gamma=60.00
Fractional coordinates of all 3 atoms:
Fe (0.0000, 0.0000, 0.0000)
Ir (0.7500, 0.7500, 0.7500)
Cl (0.2500, 0.2500, 0.2500)

---

> Among the records above, which one has the lowest raw formation energy?

TlInFeCl6

---

> Which of these has the highest raw formation energy?

number 3

---

> Which value of raw formation energy does entry 11 give?

1001.6 meV per atom